The following is a DFT calculation (GGA-PBE) of a relaxed structure of PuTcNi2.

abc: 3.828 3.828 4.035
angles: 90.00 90.00 90.00
Sites, in units of the cell vectors:
Pu  0.000  0.000  0.000
Tc  0.500  0.500  0.000
Ni  0.000  0.500  0.500
Ni  0.500  0.000  0.500

VASP energy	-9.065	eV/atom
symmetry	P4/mmm
density	12.90	g cm⁻³